#a
KTe2F2: relaxed, PBEsol.

Computed properties:
Density ... 4.72 Mg/m³

Cell lengths 4.081, 4.081, 14.049 Å; angles 90.00, 90.00, 90.00 degrees
Space group I4/mmm (No. 139)
Symmetry-distinct sites (fractional):
1 K 0.000 0.000 0.000 [2 per cell]
2 Te 0.000 0.500 0.250 [4 per cell]
3 F 0.000 0.000 0.396 [4 per cell]


#b
KTe2F2: relaxed, PBEsol.

Computed properties:
Density ... 5.04 Mg/m³

Cell lengths 8.396, 8.396, 3.106 Å; angles 90.00, 90.00, 90.00 degrees
Space group P4/mbm (No. 127)
Symmetry-distinct sites (fractional):
1 K 0.000 0.000 0.000 [2 per cell]
2 Te 0.115 0.385 0.500 [4 per cell]
3 F 0.213 0.713 0.000 [4 per cell]


Which structure is the most stable? The one labeled #a.


#a
KZnF2: relaxed, PBEsol.

Computed properties:
Density ... 3.05 Mg/m³

Cell lengths 5.746, 5.746, 9.392 Å; angles 90.00, 90.00, 90.00 degrees
Space group I-42d (No. 122)
Symmetry-distinct sites (fractional):
1 K 0.000 0.000 0.000 [4 per cell]
2 Zn 0.000 0.000 0.500 [4 per cell]
3 F 0.180 0.250 0.625 [8 per cell]


#b
KZnF2: relaxed, PBEsol.

Computed properties:
Density ... 3.23 Mg/m³

Cell lengths 3.5102, 3.5102, 20.5732 Å; angles 90.00, 90.00, 120.00 degrees
Space group R-3m (No. 166, hexagonal axes)
Symmetry-distinct sites (fractional):
1 K 0.0000 0.0000 0.0000 [3 per cell]
2 Zn 0.0000 0.0000 0.5000 [3 per cell]
3 F 0.0000 0.0000 0.1213 [6 per cell]


Which structure is the most stable? The one labeled #a.


#a
LaSbN2F: relaxed, PBEsol.

Computed properties:
Density ... 5.57 Mg/m³

Cell lengths 4.568, 4.568, 4.394 Å; angles 90.00, 90.00, 90.00 degrees
Space group P4/mmm (No. 123)
Symmetry-distinct sites (fractional):
1 La 0.000 0.000 0.000 [1 per cell]
2 Sb 0.500 0.500 0.500 [1 per cell]
3 N 0.000 0.500 0.000 [2 per cell]
4 F 0.000 0.000 0.500 [1 per cell]


#b
LaSbN2F: relaxed, PBEsol.

Computed properties:
Density ... 6.89 Mg/m³

Cell lengths 4.216, 4.216, 4.172 Å; angles 90.00, 90.00, 90.00 degrees
Space group P4/mmm (No. 123)
Symmetry-distinct sites (fractional):
1 La 0.000 0.000 0.000 [1 per cell]
2 Sb 0.500 0.500 0.500 [1 per cell]
3 N 0.000 0.500 0.500 [2 per cell]
4 F 0.500 0.500 0.000 [1 per cell]


Which structure is the most stable? The one labeled #b.


#a
Li2MnF4: relaxed, PBEsol.

Computed properties:
Density ... 3.22 Mg/m³

Cell lengths 4.109, 4.109, 8.835 Å; angles 90.00, 90.00, 90.00 degrees
Space group I4/mmm (No. 139)
Symmetry-distinct sites (fractional):
1 Li 0.000 0.500 0.250 [4 per cell]
2 Mn 0.000 0.000 0.000 [2 per cell]
3 F 0.000 0.000 0.239 [4 per cell]
4 F 0.000 0.500 0.000 [4 per cell]


#b
Li2MnF4: relaxed, PBEsol.

Computed properties:
Density ... 3.04 Mg/m³

Cell lengths 3.2638, 3.2638, 25.6909 Å; angles 90.00, 90.00, 120.00 degrees
Space group R-3m (No. 166, hexagonal axes)
Symmetry-distinct sites (fractional):
1 Li 0.0000 0.0000 0.2036 [6 per cell]
2 Mn 0.0000 0.0000 0.0000 [3 per cell]
3 F 0.0000 0.0000 0.1265 [6 per cell]
4 F 0.0000 0.0000 0.3707 [6 per cell]


Which structure is the most stable? The one labeled #a.


#a
Li2MnF4: relaxed, PBEsol.

Computed properties:
Density ... 3.57 Mg/m³

Cell lengths 9.159, 2.912, 10.099 Å; angles 90.00, 90.00, 90.00 degrees
Space group Pnma (No. 62)
Symmetry-distinct sites (fractional):
1 Li 0.058 0.250 0.119 [4 per cell]
2 Li 0.082 0.250 0.607 [4 per cell]
3 Mn 0.248 0.750 0.844 [4 per cell]
4 F 0.055 0.750 0.722 [4 per cell]
5 F 0.100 0.250 0.934 [4 per cell]
6 F 0.124 0.750 0.456 [4 per cell]
7 F 0.196 0.750 0.190 [4 per cell]


#b
Li2MnF4: relaxed, PBEsol.

Computed properties:
Density ... 3.34 Mg/m³

Cell lengths 5.664, 10.259, 4.953 Å; angles 90.00, 90.00, 90.00 degrees
Space group Pmmn (No. 59, origin choice 2)
Symmetry-distinct sites (fractional):
1 Li 0.000 0.000 0.000 [4 per cell]
2 Li 0.250 0.022 0.487 [4 per cell]
3 Mn 0.250 0.250 0.862 [2 per cell]
4 Mn 0.250 0.750 0.533 [2 per cell]
5 F 0.000 0.121 0.668 [8 per cell]
6 F 0.250 0.107 0.149 [4 per cell]
7 F 0.250 0.599 0.800 [4 per cell]


#c
Li2MnF4: relaxed, PBEsol.

Computed properties:
Density ... 2.61 Mg/m³

Cell lengths 4.724, 4.724, 8.264 Å; angles 90.00, 90.00, 90.00 degrees
Space group I-4 (No. 82)
Symmetry-distinct sites (fractional):
1 Li 0.000 0.000 0.000 [2 per cell]
2 Li 0.000 0.500 0.250 [2 per cell]
3 Mn 0.000 0.500 0.750 [2 per cell]
4 F 0.208 0.227 0.136 [8 per cell]


Which structure is the most stable? The one labeled #b.


#a
LiMnF5: relaxed, PBEsol.

Computed properties:
Density ... 2.78 Mg/m³

Cell lengths 5.457, 5.602, 6.992 Å; angles 104.68, 102.95, 106.82 degrees
Space group P-1 (No. 2)
Symmetry-distinct sites (fractional):
1 Li 0.191 0.329 0.229 [2 per cell]
2 Mn 0.500 0.000 0.000 [1 per cell]
3 Mn 0.500 0.000 0.500 [1 per cell]
4 F 0.154 0.826 0.969 [2 per cell]
5 F 0.243 0.677 0.374 [2 per cell]
6 F 0.265 0.143 0.410 [2 per cell]
7 F 0.387 0.031 0.737 [2 per cell]
8 F 0.466 0.307 0.114 [2 per cell]


#b
LiMnF5: relaxed, PBEsol.

Computed properties:
Density ... 3.02 Mg/m³

Cell lengths 6.681, 6.934, 3.729 Å; angles 90.00, 90.00, 90.00 degrees
Space group Pmmn (No. 59, origin choice 2)
Symmetry-distinct sites (fractional):
1 Li 0.250 0.250 0.033 [2 per cell]
2 Mn 0.250 0.750 0.252 [2 per cell]
3 F 0.017 0.250 0.746 [4 per cell]
4 F 0.250 0.007 0.255 [4 per cell]
5 F 0.250 0.750 0.754 [2 per cell]


Which structure is the most stable? The one labeled #a.


#a
Li2MnF6: relaxed, PBEsol.

Computed properties:
Density ... 3.29 Mg/m³

Cell lengths 8.3692, 8.3692, 4.5691 Å; angles 90.00, 90.00, 120.00 degrees
Space group P321 (No. 150)
Symmetry-distinct sites (fractional):
1 Li 0.0000 0.3627 0.0000 [3 per cell]
2 Li 0.0000 0.6991 0.5000 [3 per cell]
3 Mn 0.0000 0.0000 0.0000 [1 per cell]
4 Mn 0.3333 0.6667 0.4911 [2 per cell]
5 F 0.0975 0.2073 0.2220 [6 per cell]
6 F 0.1275 0.5781 0.2672 [6 per cell]
7 F 0.2230 0.4601 0.7149 [6 per cell]


#b
Li2MnF6: relaxed, PBEsol.

Computed properties:
Density ... 3.49 Mg/m³

Cell lengths 4.8187, 4.8187, 4.3294 Å; angles 90.00, 90.00, 120.00 degrees
Space group P-31m (No. 162)
Symmetry-distinct sites (fractional):
1 Li 0.3333 0.6667 0.0000 [2 per cell]
2 Mn 0.0000 0.0000 0.5000 [1 per cell]
3 F 0.0000 0.3090 0.7411 [6 per cell]


#c
Li2MnF6: relaxed, PBEsol.

Computed properties:
Density ... 2.69 Mg/m³

Cell lengths 6.113, 6.113, 6.037 Å; angles 90.00, 90.00, 90.00 degrees
Space group I4/mmm (No. 139)
Symmetry-distinct sites (fractional):
1 Li 0.000 0.500 0.250 [4 per cell]
2 Mn 0.000 0.000 0.000 [2 per cell]
3 F 0.000 0.000 0.293 [4 per cell]
4 F 0.000 0.300 0.000 [8 per cell]


#d
Li2MnF6: relaxed, PBEsol.

Computed properties:
Density ... 3.30 Mg/m³

Cell lengths 4.9139, 4.9139, 8.8026 Å; angles 90.00, 90.00, 120.00 degrees
Space group P-31c (No. 163)
Symmetry-distinct sites (fractional):
1 Li 0.0000 0.0000 0.0000 [2 per cell]
2 Li 0.3333 0.6667 0.2500 [2 per cell]
3 Mn 0.3333 0.6667 0.7500 [2 per cell]
4 F 0.0269 0.3626 0.8661 [12 per cell]


Which structure is the most stable? The one labeled #a.